No. 1
HfThCo | PBE | relaxed

Lattice parameters (Å, degrees): 4.616 4.616 4.616 60.00 60.00 60.00
Fractional coordinates of all 3 atoms:
Hf (0.000, 0.000, 0.000)
Th (0.500, 0.500, 0.500)
Co (0.250, 0.250, 0.250)

The value obtained for the formation energy is 0.070 eV/atom. The value obtained for the total magnetization is 0.004 μB/cell. The space-group type is No. 216. The value obtained for the calculated volume is 69.5 Å³/cell.


No. 2
HfTl2Co | PBE | relaxed

Lattice parameters (Å, degrees): 4.849 4.849 4.849 60.00 60.00 60.00
Fractional coordinates of all 4 atoms:
Hf (0.000, 0.000, 0.000)
Tl (0.250, 0.250, 0.250)
Tl (0.500, 0.500, 0.500)
Co (0.750, 0.750, 0.750)

As for the final energy: -4.9364 eV/atom. The value obtained for the total magnetization is 0.296 μB/cell. The space-group type is No. 216. The value obtained for the calculated volume is 80.6 Å³/cell.


No. 3
YHfTlCo | PBE | relaxed

Lattice parameters (Å, degrees): 4.860 4.860 4.860 60.00 60.00 60.00
Fractional coordinates of all 4 atoms:
Y (0.000, 0.000, 0.000)
Hf (0.750, 0.750, 0.750)
Tl (0.250, 0.250, 0.250)
Co (0.500, 0.500, 0.500)

As for the final energy: -6.1696 eV/atom. The value obtained for the total magnetization is 0.998 μB/cell. The space-group type is No. 216. The value obtained for the calculated volume is 81.2 Å³/cell.


No. 4
HfTlZnCo | PBE | relaxed

Lattice parameters (Å, degrees): 4.589 4.589 4.589 60.00 60.00 60.00
Fractional coordinates of all 4 atoms:
Hf (0.000, 0.000, 0.000)
Tl (0.250, 0.250, 0.250)
Zn (0.750, 0.750, 0.750)
Co (0.500, 0.500, 0.500)

As for the final energy: -4.9325 eV/atom. The value obtained for the total magnetization is 0.285 μB/cell. The space-group type is No. 216. The value obtained for the calculated volume is 68.4 Å³/cell.